Li2YIn: optimized geometry, PBE-GGA.

a = 3.435 Å, b = 4.945 Å, c = 5.832 Å
α = 90.00°, β = 101.61°, γ = 90.00°
Atoms (fractional coordinates):
1 Li 0.000 0.000 0.000
2 Li 0.383 0.500 0.834
3 Y 0.747 0.500 0.374
4 In 0.315 0.000 0.555

Calculated values
The density of states at the Fermi level is 2.19 states/eV/f.u. Its density is 3.7 g cm⁻³. As for the space-group type: Pm. The calculation puts the energy at -13.66 eV per formula unit.